(w)
Compound: Nb2B2Pt
Source: the Alexandria database
Functional: GGA-PBE
Structure: optimized geometry

Lattice parameters (Å, degrees): 2.853 2.853 8.209 79.99 79.99 90.00
Fractional positions:
Pt 0.000 0.000 0.000
Nb 0.371 0.371 0.258
Nb 0.629 0.629 0.742
B 0.250 0.750 0.500
B 0.750 0.250 0.500

For the spin magnetization, the calculation gives 0.0 μB/f.u. The space group is No. 139.

---

(x)
Compound: Nb2B2Pt
Source: the Alexandria database
Functional: GGA-PBE
Structure: optimized geometry

Lattice parameters (Å, degrees): 5.734 5.734 3.771 90.00 90.00 90.00
Fractional positions:
B 0.887 0.613 0.000
B 0.113 0.387 0.000
B 0.387 0.887 0.000
B 0.613 0.113 0.000
Nb 0.667 0.833 0.500
Nb 0.167 0.667 0.500
Nb 0.833 0.333 0.500
Nb 0.333 0.167 0.500
Pt 0.000 0.000 0.000
Pt 0.500 0.500 0.000

For the spin magnetization, the calculation gives 0.0 μB/f.u. The space group is No. 127.

---

The relative energies come out as (w) 437; (x) 0, with values in meV per atom.

---

(w)
Compound: RbNbB3
Source: the Alexandria database
Functional: GGA-PBE
Structure: optimized geometry

Lattice parameters (Å, degrees): 4.269 4.269 4.269 90.00 90.00 90.00
Site moments in Bohr magnetons follow the coordinates.
Fractional positions:
Nb 0.500 0.500 0.500  0.17
B 0.500 0.000 0.000  0.14
B 0.000 0.500 0.000  0.06
B 0.000 0.000 0.500  0.05
Rb 0.000 0.000 0.000  0.12

For the spin magnetization, the calculation gives 0.7 μB/f.u. The space group is No. 221.

---

(x)
Compound: RbNbB3
Source: the Alexandria database
Functional: GGA-PBE
Structure: optimized geometry

Lattice parameters (Å, degrees): 4.525 4.525 4.525 90.00 90.00 90.00
Fractional positions:
B 0.000 0.000 0.500
B 0.000 0.500 0.000
B 0.500 0.000 0.000
Nb 0.000 0.000 0.000
Rb 0.500 0.500 0.500

For the spin magnetization, the calculation gives 0.0 μB/f.u. The space group is No. 221.

---

The relative energies come out as (w) 2130; (x) 0, with values in meV per atom.